# PBE+U AlFe2HO, optimized geometry
data_AlFe2HO
_chemical_formula_sum 'Al1 Fe2 H1 O1'
_cell_length_a 3.492
_cell_length_b 3.492
_cell_length_c 4.775
_cell_angle_alpha 90.00
_cell_angle_beta 90.00
_cell_angle_gamma 90.00
_space_group_name_H-M_alt 'P 1'
_space_group_IT_number 1
loop_
_space_group_symop_operation_xyz
'x,y,z'
loop_
_atom_site_label
_atom_site_type_symbol
_atom_site_fract_x
_atom_site_fract_y
_atom_site_fract_z
Al1 Al 0.000 0.000 0.000
Fe1 Fe 0.000 0.500 0.500
Fe2 Fe 0.500 0.000 0.500
H1 H 0.500 0.500 0.500
O1 O 0.500 0.500 0.000
# Space group: P4/mmm (123)
# Electronic total energy, eV/atom: -4.443